Record 1
Entry from Alexandria via LeMat-Bulk: Fe2CoSbH after structural relaxation (PBE-GGA).

## Properties
Uncorrected energy (eV per atom): -6.226
D(E_F) (states/eV/cell): 6.43
Total magnetization (μB/f.u.): 3.772
Calculated volume (A^3/atom): 10.83

Cell: 3.705 3.705 3.946 Å, 90.00 90.00 90.00°
Each line ends with the local moment (μB).
Fractional coordinates of all 5 atoms:
Sb 0.500 0.500 0.500  -0.07
Co 0.000 0.000 0.500  0.07
Fe 0.000 0.500 0.000  1.92
Fe 0.500 0.000 0.000  1.92
H 0.000 0.000 0.000  -0.02

Record 2
Entry from Alexandria via LeMat-Bulk: Mg2BC after structural relaxation (PBE-GGA).

## Properties
D(E_F) (states/eV/cell): 2.00
Distance to the lowest polymorph of the same formula (eV/atom): 0.9822
Total magnetization (μB/f.u.): 0.000
E_form (eV/atom): 1.067
Calculated volume (A^3/atom): 11.78

Cell: 4.055 4.055 4.055 Å, 60.00 60.00 60.00°
Fractional coordinates of all 4 atoms:
Mg 0.250 0.250 0.250
Mg 0.750 0.750 0.750
B 0.000 0.000 0.000
C 0.500 0.500 0.500

Record 3
Entry from Alexandria via LeMat-Bulk: HgSeN2 after structural relaxation (PBE-GGA).

## Properties
D(E_F) (states/eV/cell): 1.73
Distance to the lowest polymorph of the same formula (eV/atom): 1.3691
Total magnetization (μB/f.u.): 0.000
Calculated volume (A^3/atom): 16.25
Formation energy (no corrections) (meV per atom): 1320

Cell: 4.954 4.954 6.352 Å, 67.05 67.05 90.00°
Fractional coordinates of all 8 atoms:
Hg 0.000 0.000 0.000
Hg 0.750 0.250 0.500
Se 0.500 0.500 0.000
Se 0.250 0.750 0.500
N 0.566 0.125 0.250
N 0.184 0.625 0.250
N 0.375 0.434 0.750
N 0.875 0.816 0.750

Record 4
Entry from Alexandria via LeMat-Bulk: AlTcNiPt after structural relaxation (PBE-GGA).

## Properties
D(E_F) (states/eV/cell): 3.41
Total magnetization (μB/f.u.): 1.446
E_form (eV/atom): -0.342
Calculated volume (A^3/atom): 13.66

Cell: 4.259 4.259 4.259 Å, 60.00 60.00 60.00°
Each line ends with the local moment (μB).
Fractional coordinates of all 4 atoms:
Ni 0.250 0.250 0.250  0.61
Tc 0.500 0.500 0.500  0.73
Pt 0.000 0.000 0.000  0.06
Al 0.750 0.750 0.750  0.01

Record 5
Entry from Alexandria via LeMat-Bulk: SmEr5Mg3 after structural relaxation (PBE-GGA).

## Properties
D(E_F) (states/eV/cell): 21.08
Total magnetization (μB/f.u.): 0.000
E_form (eV/atom): 0.367
Calculated volume (A^3/atom): 33.14

Cell: 7.258 7.258 12.005 Å, 78.61 78.61 77.13°
Fractional coordinates of all 18 atoms:
Sm 0.117 0.117 0.734
Sm 0.883 0.883 0.266
Er 0.996 0.361 0.202
Er 0.309 0.691 0.000
Er 0.725 0.725 0.068
Er 0.587 0.587 0.369
Er 0.413 0.413 0.631
Er 0.275 0.275 0.932
Er 0.361 0.996 0.202
Er 0.691 0.309 0.000
Er 0.004 0.639 0.798
Er 0.639 0.004 0.798
Mg 0.577 0.577 0.788
Mg 0.736 0.736 0.563
Mg 0.000 0.000 0.000
Mg 0.000 0.000 0.500
Mg 0.423 0.423 0.212
Mg 0.264 0.264 0.437

Record 6
Entry from Alexandria via LeMat-Bulk: Rb2CuCl after structural relaxation (PBE-GGA).

## Properties
D(E_F) (states/eV/cell): 0.00
Distance to the lowest polymorph of the same formula (eV/atom): 0.0000
Total magnetization (μB/f.u.): 0.000
Calculated volume (A^3/atom): 35.00
Formation energy (no corrections) (meV per atom): -634

Cell: 5.828 5.828 5.828 Å, 60.00 60.00 60.00°
Fractional coordinates of all 4 atoms:
Cu 0.500 0.500 0.500
Rb 0.250 0.250 0.250
Rb 0.750 0.750 0.750
Cl 0.000 0.000 0.000

Record 7
Entry from Alexandria via LeMat-Bulk: Al2V7Ga3 after structural relaxation (PBE-GGA).

## Properties
D(E_F) (states/eV/cell): 10.60
Total magnetization (μB/f.u.): 0.000
E_form (eV/atom): 0.079
Calculated volume (A^3/atom): 14.61

Cell: 2.663 4.537 15.112 Å, 106.21 90.00 90.00°
Fractional coordinates of all 12 atoms:
Al 0.500 0.548 0.292
Al 0.500 0.452 0.708
V 0.500 0.050 0.820
V 0.500 0.950 0.180
V 0.500 0.721 0.469
V 0.500 0.279 0.531
V 0.000 0.000 0.000
V 0.000 0.574 0.861
V 0.000 0.426 0.139
Ga 0.000 0.878 0.633
Ga 0.000 0.122 0.367
Ga 0.500 0.500 0.000

Record 8
Entry from Alexandria via LeMat-Bulk: Mg5H2Ir after structural relaxation (PBE-GGA).

## Properties
D(E_F) (states/eV/cell): 2.01
Distance to the lowest polymorph of the same formula (eV/atom): 0.0519
Total magnetization (μB/f.u.): 0.000
Calculated volume (A^3/atom): 15.55

Cell: 5.343 5.663 4.545 Å, 89.94 115.18 89.50°
Fractional coordinates of all 8 atoms:
Mg 0.094 0.691 0.925
Mg 0.318 0.973 0.537
Mg 0.680 0.849 0.218
Mg 0.896 0.333 0.327
Mg 0.489 0.443 0.623
H 0.964 0.166 0.858
H 0.674 0.758 0.711
Ir 0.298 0.227 0.027

Record 9
Entry from Alexandria via LeMat-Bulk: NaIn2P2 after structural relaxation (PBE-GGA).

## Properties
D(E_F) (states/eV/cell): 1.95
Total magnetization (μB/f.u.): 0.000
E_form (eV/atom): -0.012
Calculated volume (A^3/atom): 24.47

Cell: 4.943 4.943 6.107 Å, 66.13 66.13 90.00°
Fractional coordinates of all 5 atoms:
P 0.750 0.250 0.500
P 0.250 0.750 0.500
Na 0.000 0.000 0.000
In 0.359 0.359 0.282
In 0.641 0.641 0.718

Record 10
Entry from Alexandria via LeMat-Bulk: NiP4Se after structural relaxation (PBE-GGA).

## Properties
D(E_F) (states/eV/cell): 6.78
Total magnetization (μB/f.u.): 0.401
Calculated volume (A^3/atom): 16.56
Formation energy (no corrections) (meV per atom): 820

Cell: 5.199 5.199 5.199 Å, 60.00 60.00 60.00°
Each line ends with the local moment (μB).
Fractional coordinates of all 6 atoms:
Ni 0.000 0.000 0.000  0.34
P 0.915 0.362 0.362  0.01
P 0.362 0.362 0.915  0.01
P 0.362 0.915 0.362  0.01
P 0.362 0.362 0.362  0.01
Se 0.750 0.750 0.750  0.03

Record 11
Entry from Alexandria via LeMat-Bulk: PmCdFeC after structural relaxation (PBE-GGA).

## Properties
D(E_F) (states/eV/cell): 5.83
Total magnetization (μB/f.u.): 0.000
E_form (eV/atom): 0.003
Calculated volume (A^3/atom): 17.69

Cell: 3.666 3.666 10.532 Å, 90.00 90.00 90.00°
Fractional coordinates of all 8 atoms:
Pm 0.750 0.750 0.211
Pm 0.250 0.250 0.789
Cd 0.250 0.750 0.500
Cd 0.750 0.250 0.500
Fe 0.750 0.250 0.000
Fe 0.250 0.750 0.000
C 0.750 0.750 0.921
C 0.250 0.250 0.079

Record 12
Entry from Alexandria via LeMat-Bulk: Pm6TlAg3 after structural relaxation (PBE-GGA).

## Properties
D(E_F) (states/eV/cell): 21.39
Total magnetization (μB/f.u.): 0.000
E_form (eV/atom): -0.184
Calculated volume (A^3/atom): 28.12

Cell: 5.176 9.738 11.468 Å, 103.33 90.00 90.00°
Fractional coordinates of all 20 atoms:
Pm 0.250 0.461 0.097
Pm 0.750 0.539 0.903
Pm 0.250 0.137 0.203
Pm 0.750 0.863 0.797
Pm 0.250 0.633 0.690
Pm 0.750 0.367 0.310
Pm 0.250 0.257 0.510
Pm 0.750 0.743 0.490
Pm 0.250 0.833 0.303
Pm 0.750 0.167 0.697
Pm 0.250 0.098 0.908
Pm 0.750 0.902 0.092
Tl 0.250 0.945 0.617
Tl 0.750 0.055 0.383
Ag 0.250 0.537 0.394
Ag 0.750 0.463 0.606
Ag 0.250 0.364 0.799
Ag 0.750 0.636 0.201
Ag 0.250 0.766 0.969
Ag 0.750 0.234 0.031

Which formula does entry 9 have?
NaIn2P2

Which formula does entry 12 have?
Pm6TlAg3